Here is crystalline PrEr3O at its relaxed geometry from the Alexandria database. Energies are from PBE.

Output
* ΔE_f (raw): -1.06 eV per atom
* E_tot: -28.71 eV per cell
* volume: 121 Å³ per cell

a = 4.9405 Å, b = 4.9405 Å, c = 4.9405 Å
α = 90.00°, β = 90.00°, γ = 90.00°
With the nearest neighbours (Å) after each atom.
Space group Pm-3m (No. 221)
Inequivalent atoms, fractional coordinates:
Pr: 0.0000 0.0000 0.0000 x1  12 Er 3.49
Er: 0.0000 0.5000 0.5000 x3  2 O 2.47
O: 0.5000 0.5000 0.5000 x1  6 Er 2.47

---

Here is crystalline PrErO2 at its relaxed geometry from the Alexandria database. Energies are from PBE.

Output
* ΔE_f (raw): -2.82 eV per atom
* E_tot: -91.66 eV per cell
* volume: 226 Å³ per cell
* polymorph energy (0 for the lowest one): 0 meV/atom

a = 3.5810 Å, b = 3.5810 Å, c = 20.3407 Å
α = 90.00°, β = 90.00°, γ = 120.00°
With the nearest neighbours (Å) after each atom.
Space group R-3m (No. 166, hexagonal axes)
Inequivalent atoms, fractional coordinates:
Pr: 0.0000 0.0000 0.0000 x3  2 O 2.35
Er: 0.0000 0.0000 0.5000 x3  6 O 2.31
O: 0.0000 0.0000 0.1155 x6  3 Er 2.31, 1 Pr 2.35

---

Question: Among the records above, which one has the lowest volume?
Answer: PrEr3O